## Rb3Ge2Se4 (PBE-GGA)

Data for a relaxed Rb3Ge2Se4 crystal.

Results
formation energy from raw total energies = -0.764 eV/atom

a = 8.922 Å, b = 8.922 Å, c = 8.554 Å
α = 97.50°, β = 97.50°, γ = 79.50°
Fractional positions:
Rb  0.113  0.887  0.750
Rb  0.229  0.494  0.380
Rb  0.494  0.229  0.880
Rb  0.506  0.771  0.120
Rb  0.771  0.506  0.620
Rb  0.887  0.113  0.250
Ge  0.080  0.321  0.918
Ge  0.321  0.080  0.418
Ge  0.679  0.920  0.582
Ge  0.920  0.679  0.082
Se  0.137  0.225  0.609
Se  0.192  0.566  0.980
Se  0.225  0.137  0.109
Se  0.434  0.808  0.520
Se  0.566  0.192  0.480
Se  0.775  0.863  0.891
Se  0.808  0.434  0.020
Se  0.863  0.775  0.391

***

## PmSmY2Se6 (PBE-GGA)

Data for a relaxed PmSmY2Se6 crystal.

Results
formation energy from raw total energies = -1.855 eV/atom

a = 7.773 Å, b = 7.773 Å, c = 7.773 Å
α = 56.11°, β = 56.11°, γ = 56.11°
Fractional positions:
Pm  0.000  0.000  0.000
Sm  0.499  0.499  0.499
Y  0.300  0.300  0.300
Y  0.801  0.801  0.801
Se  0.088  0.692  0.411
Se  0.195  0.589  0.908
Se  0.411  0.088  0.692
Se  0.589  0.908  0.195
Se  0.692  0.411  0.088
Se  0.908  0.195  0.589

***

## Ho6InRh5 (PBE-GGA)

Data for a relaxed Ho6InRh5 crystal.

Results
formation energy from the elements = -785 meV/atom

a = 8.443 Å, b = 8.443 Å, c = 4.838 Å
α = 106.53°, β = 106.53°, γ = 49.85°
Fractional positions:
Ho  0.069  0.587  0.328
Ho  0.232  0.768  0.000
Ho  0.413  0.931  0.672
Ho  0.587  0.069  0.328
Ho  0.768  0.232  0.000
Ho  0.931  0.413  0.672
In  0.500  0.500  0.500
Rh  0.000  0.000  0.500
Rh  0.168  0.168  0.168
Rh  0.338  0.338  0.838
Rh  0.662  0.662  0.162
Rh  0.832  0.832  0.832

***

## AlCd2Se (PBE-GGA)

Data for a relaxed AlCd2Se crystal.

Results
energy above the most stable polymorph in this dataset = 0.2307 eV/atom
formation energy from raw total energies = 0.023 eV/atom

a = 5.032 Å, b = 5.032 Å, c = 3.844 Å
α = 90.00°, β = 90.00°, γ = 112.48°
Fractional positions:
Al  0.000  0.000  0.000
Cd  0.000  0.500  0.500
Cd  0.500  0.000  0.500
Se  0.500  0.500  0.000

***

no.,N(E_F) (states/eV/cell)
1,3.9
2,0.0
3,8.5
4,1.0